TlAg2P GGA-PBE optimized geometry; crystal system = monoclinic; V = 86 Å³/cell; DFT formation energy = 0.269 eV/atom; distance to the lowest polymorph of the same formula = 0.33 eV per formula unit; symmetry = Pm, No. 6
1.0
-2.9301 -1.4394 3.3173
2.5002 -0.9402 1.8005
0.5642 5.0506 2.6898
Tl P Ag
1 1 2
direct
0.5000 0.8334 0.7294
0.0000 0.3560 0.4423
0.0000 0.9162 0.0830
0.5000 0.3944 0.2454

TlAgP2 GGA-PBE optimized geometry; crystal system = tetragonal; V = 202 Å³/cell; DFT formation energy = 0.432 eV/atom; distance to the lowest polymorph of the same formula = 1.21 eV per formula unit; symmetry = I-42d, No. 122
1.0
-1.6276 -5.4320 -1.5015
4.6404 -2.1786 2.8514
-1.6991 -4.2028 5.5878
P Tl Ag
4 2 2
direct
0.8750 0.8442 0.7500
0.3750 0.4058 0.7500
0.1558 0.6250 0.2500
0.5942 0.1250 0.2500
0.0000 0.0000 0.0000
0.7500 0.2500 0.5000
0.5000 0.5000 0.0000
0.2500 0.7500 0.5000

TlAgP2 GGA-PBE optimized geometry; crystal system = trigonal; V = 83 Å³/cell; DFT formation energy = 0.197 eV/atom; distance to the lowest polymorph of the same formula = 0.27 eV per formula unit; symmetry = R3m, No. 160
1.0
-1.2454 1.4498 8.4203
-4.2042 0.0984 7.5412
-1.5905 -1.8987 8.2716
Ag P Tl
1 2 1
direct
0.7379 0.7379 0.7379
0.2726 0.2726 0.2726
0.9877 0.9877 0.9877
0.5018 0.5018 0.5018

TlAg2P GGA-PBE optimized geometry; crystal system = orthorhombic; V = 84 Å³/cell; DFT formation energy = 0.302 eV/atom; distance to the lowest polymorph of the same formula = 0.46 eV per formula unit; symmetry = Pmmm, No. 47
1.0
4.3561 0.0000 0.0000
0.0000 3.1749 -0.0402
0.0000 0.0782 6.0446
P Ag Tl
1 2 1
direct
0.5000 0.2500 0.2500
0.0000 0.2496 0.0110
0.0000 0.2504 0.4890
0.5000 0.7500 0.7500